No. 1
# Pr2Ho5Th

An optimized crystal structure of Pr2Ho5Th (PBE, the Alexandria database).

a b c (Å): 7.133 14.301 5.094
angles (deg): 90.00 90.00 90.00
Fractional coordinates of all 16 atoms:
Pr: 0.250 0.124 0.000
Pr: 0.250 0.624 0.000
Pr: 0.750 0.376 0.000
Pr: 0.750 0.876 0.000
Ho: 0.000 0.000 0.500
Ho: 0.008 0.749 0.500
Ho: 0.239 0.378 0.000
Ho: 0.261 0.878 0.000
Ho: 0.492 0.249 0.500
Ho: 0.500 0.500 0.500
Ho: 0.508 0.751 0.500
Ho: 0.739 0.122 0.000
Ho: 0.761 0.622 0.000
Ho: 0.992 0.251 0.500
Th: 0.000 0.500 0.500
Th: 0.500 0.000 0.500

Values from the calculation:
D(E_F) = 11.249 states/eV/f.u.
E = -4.95 eV per atom
space-group type = No. 55
ΔH_f (0 K) = 0.03 eV/atom



No. 2
# Pr4Ho3Th2

An optimized crystal structure of Pr4Ho3Th2 (PBE, the Alexandria database).

a b c (Å): 3.596 3.596 27.234
angles (deg): 90.00 90.00 120.00
Fractional coordinates of all 9 atoms:
Pr: 0.000 0.000 0.000
Pr: 0.000 0.000 0.215
Pr: 0.333 0.667 0.332
Pr: 0.333 0.667 0.549
Ho: 0.000 0.000 0.439
Ho: 0.333 0.667 0.107
Ho: 0.333 0.667 0.766
Th: 0.000 0.000 0.660
Th: 0.000 0.000 0.872

Values from the calculation:
D(E_F) = 16.213 states/eV/f.u.
E = -5.22 eV per atom
space-group type = No. 156
ΔH_f (0 K) = 0.08 eV/atom
ΔE to the lowest computed polymorph = 0.000 eV per atom



No. 3
# Pr3Ho3Th

An optimized crystal structure of Pr3Ho3Th (PBE, the Alexandria database).

a b c (Å): 11.431 3.597 11.749
angles (deg): 90.00 92.96 90.00
Fractional coordinates of all 14 atoms:
Pr: 0.029 0.250 0.364
Pr: 0.050 0.250 0.888
Pr: 0.441 0.250 0.883
Pr: 0.559 0.750 0.117
Pr: 0.950 0.750 0.112
Pr: 0.971 0.750 0.636
Ho: 0.234 0.250 0.661
Ho: 0.261 0.250 0.150
Ho: 0.275 0.750 0.415
Ho: 0.725 0.250 0.585
Ho: 0.739 0.750 0.850
Ho: 0.766 0.750 0.339
Th: 0.486 0.750 0.630
Th: 0.514 0.250 0.370

Values from the calculation:
D(E_F) = 8.657 states/eV/f.u.
E = -4.94 eV per atom
space-group type = No. 11
ΔH_f (0 K) = 0.13 eV/atom



No. 4
# Pr3Ho6Th

An optimized crystal structure of Pr3Ho6Th (PBE, the Alexandria database).

a b c (Å): 6.631 6.631 9.631
angles (deg): 111.00 111.00 59.79
Fractional coordinates of all 10 atoms:
Pr: 0.000 0.000 0.000
Pr: 0.070 0.070 0.691
Pr: 0.930 0.930 0.309
Ho: 0.067 0.563 0.685
Ho: 0.365 0.365 0.082
Ho: 0.437 0.933 0.315
Ho: 0.563 0.067 0.685
Ho: 0.635 0.635 0.918
Ho: 0.933 0.437 0.315
Th: 0.500 0.500 0.500

Values from the calculation:
D(E_F) = 18.124 states/eV/f.u.
E = -4.69 eV per atom
space-group type = No. 12
ΔH_f (0 K) = 0.23 eV/atom